Density functional theory data (PBE) for a geometry-optimized MgMnP2 structure.

Properties
Energy of formation from the pure elements ... 0.1385 eV/atom

a = 3.0077 Å, b = 3.0077 Å, c = 22.5982 Å
α = 90.00°, β = 90.00°, γ = 120.00°
Last column: nearest neighbours and their distance in Å.
Space group R3m (No. 160, hexagonal axes)
Asymmetric unit:
Mg  0.0000  0.0000  0.0000  3 P 2.75, 3 Mn 2.79, 6 Mg 3.01
Mn  0.0000  0.0000  0.7635  3 P 2.27
P  0.0000  0.0000  0.2387  3 P 2.46, 3 Mg 2.75
P  0.0000  0.0000  0.4947  3 Mn 2.27, 3 P 2.46

Density functional theory data (PBE) for a geometry-optimized Sr6Cd5Si structure.

Properties
Formation energy without anion corrections ... -0.32 eV per atom

a = 5.6461 Å, b = 17.0182 Å, c = 8.0641 Å
α = 90.00°, β = 90.00°, γ = 90.00°
Last column: nearest neighbours and their distance in Å.
Space group Cmmm (No. 65)
Asymmetric unit:
Sr  0.0000  0.0000  0.2372  2 Si 3.41, 6 Cd 3.51-3.59
Sr  0.0000  0.3399  0.2452  1 Si 3.37, 7 Cd 3.41-3.55
Cd  0.0000  0.1701  0.5000  8 Sr 3.50-3.59
Cd  0.0000  0.1732  0.0000  8 Sr 3.45-3.51, 2 Cd 3.85
Cd  0.0000  0.5000  0.5000  8 Sr 3.41-3.53
Si  0.0000  0.5000  0.0000  8 Sr 3.37-3.41

Density functional theory data (PBE) for a geometry-optimized Nd3Ga2Ir structure.

Properties
Energy of formation from the pure elements ... -0.6221 eV/atom

a = 12.2628 Å, b = 4.2863 Å, c = 11.8725 Å
α = 90.00°, β = 90.00°, γ = 90.00°
Last column: nearest neighbours and their distance in Å.
Space group Pnma (No. 62)
Asymmetric unit:
Nd  0.0483  0.2500  0.1273  5 Ga 3.05-3.33, 1 Ir 3.13
Nd  0.1151  0.7500  0.5536  3 Ir 2.99-3.09, 5 Ga 3.13-3.24
Nd  0.2302  0.2500  0.7951  2 Ir 2.93, 2 Ga 3.16-3.21
Ga  0.0126  0.7500  0.3060  2 Ir 2.71
Ga  0.1929  0.7500  0.0009  1 Ir 2.63
Ir  0.1282  0.2500  0.3780  3 Ga 2.63-2.71, 2 Nd 2.93

Density functional theory data (PBE) for a geometry-optimized CsTlIn2Au structure.

Properties
Energy of formation from the pure elements ... 0.0197 eV/atom

a = 5.5710 Å, b = 5.5710 Å, c = 5.8639 Å
α = 90.00°, β = 90.00°, γ = 90.00°
Last column: nearest neighbours and their distance in Å.
Space group P4/mmm (No. 123)
Asymmetric unit:
Cs  0.0000  0.0000  0.0000  4 Tl 3.94, 8 In 4.04
Tl  0.5000  0.5000  0.0000  2 Au 2.93
In  0.0000  0.5000  0.5000  2 Au 2.79
Au  0.5000  0.5000  0.5000  4 In 2.79, 2 Tl 2.93

Density functional theory data (PBE) for a geometry-optimized Ti2GeTe structure.

Properties
Offset from the most stable computed form ... 62 meV per atom
Formation energy without anion corrections ... -0.51 eV per atom

a = 3.8033 Å, b = 3.8033 Å, c = 19.1286 Å
α = 90.00°, β = 90.00°, γ = 120.00°
Last column: nearest neighbours and their distance in Å.
Space group R-3m (No. 166, hexagonal axes)
Asymmetric unit:
Ti  0.0000  0.0000  0.2346  3 Ge 2.55
Ge  0.0000  0.0000  0.5000  6 Ti 2.55
Te  0.0000  0.0000  0.0000  6 Ti 2.90

Density functional theory data (PBE) for a geometry-optimized KRb4Na2Hg structure.

Properties
Energy of formation from the pure elements ... -0.0242 eV/atom

a = 6.5173 Å, b = 6.5651 Å, c = 11.2825 Å
α = 90.00°, β = 90.20°, γ = 90.00°
Last column: nearest neighbours and their distance in Å.
Space group P2/m (No. 10)
Asymmetric unit:
K  0.0000  0.0000  0.0000  8 Rb 4.56-4.59, 4 Na 4.63
Rb  0.0002  0.5000  0.2844  2 Hg 4.06-4.07, 2 Na 4.09
Rb  0.5000  0.0000  0.2842  2 Na 4.06-4.07, 2 Hg 4.09
Na  0.0000  0.0000  0.5000  8 Rb 4.06-4.09
Na  0.5000  0.5000  0.0000  8 Rb 4.57-4.59, 4 K 4.63
Hg  0.5000  0.5000  0.5000  8 Rb 4.06-4.09

Density functional theory data (PBE) for a geometry-optimized NdPaSe2 structure.

Properties
Offset from the most stable computed form ... 44 meV per atom
Formation energy without anion corrections ... -1.42 eV per atom

a = 3.9443 Å, b = 3.9443 Å, c = 22.8773 Å
α = 90.00°, β = 90.00°, γ = 120.00°
Last column: nearest neighbours and their distance in Å.
Space group R3m (No. 160, hexagonal axes)
Asymmetric unit:
Nd  0.0000  0.0000  0.0000  6 Se 2.95-3.05
Pa  0.0000  0.0000  0.1727  6 Se 2.90-2.98
Se  0.0000  0.0000  0.5846  3 Pa 2.90, 3 Nd 2.95
Se  0.0000  0.0000  0.7555  3 Pa 2.98, 3 Nd 3.05

Density functional theory data (PBE) for a geometry-optimized NaCeCdF6 structure.

Properties
Formation energy without anion corrections ... -3.05 eV per atom

a = 6.1299 Å, b = 6.1299 Å, c = 9.2363 Å
α = 90.00°, β = 90.00°, γ = 120.00°
Last column: nearest neighbours and their distance in Å.
Space group P-31c (No. 163)
Asymmetric unit:
Na  0.0000  0.0000  0.0000  6 F 2.42
Ce  0.3333  0.6667  0.2500  6 F 2.32
Cd  0.3333  0.6667  0.7500  6 F 2.29
F  0.0038  0.3455  0.6293  1 Cd 2.29, 1 Ce 2.32, 1 Na 2.42

Density functional theory data (PBE) for a geometry-optimized Dy8GaGe3Te4 structure.

Properties
Formation energy without anion corrections ... -1.11 eV per atom

a = 8.4458 Å, b = 8.4458 Å, c = 21.4274 Å
α = 90.00°, β = 90.00°, γ = 120.00°
Last column: nearest neighbours and their distance in Å.
Space group R-3m (No. 166, hexagonal axes)
Asymmetric unit:
Dy  0.0000  0.0000  0.2395  3 Ge 2.89, 3 Te 3.16
Dy  0.0029  0.5014  0.7583  2 Ge 2.91, 1 Ga 2.94, 3 Te 3.11-3.14
Ga  0.0000  0.0000  0.5000  6 Dy 2.94
Ge  0.0000  0.5000  0.5000  6 Dy 2.89-2.91
Te  0.0000  0.0000  0.0000  6 Dy 3.11
Te  0.0000  0.5000  0.0000  6 Dy 3.14-3.16

Density functional theory data (PBE) for a geometry-optimized Mn2CdPb structure.

Properties
Energy of formation from the pure elements ... 0.4143 eV/atom

a = 3.2379 Å, b = 4.7400 Å, c = 10.1920 Å
α = 90.00°, β = 90.00°, γ = 90.00°
Last column: nearest neighbours and their distance in Å.
Space group Imm2 (No. 44)
Asymmetric unit:
Mn  0.0000  0.0000  0.0000  2 Mn 2.74, 4 Cd 2.89
Mn  0.0000  0.5000  0.2826  2 Mn 2.74, 4 Pb 2.88, 2 Cd 2.99
Cd  0.0000  0.0000  0.5365  6 Mn 2.89-2.99, 2 Pb 3.22, 2 Cd 3.24
Pb  0.0000  0.5000  0.7637  6 Mn 2.88-3.14, 2 Cd 3.22

Density functional theory data (PBE) for a geometry-optimized TaZn2W structure.

Properties
Offset from the most stable computed form ... 63 meV per atom
Energy of formation from the pure elements ... 0.1421 eV/atom

a = 3.8510 Å, b = 3.8510 Å, c = 4.2248 Å
α = 90.00°, β = 90.00°, γ = 90.00°
Last column: nearest neighbours and their distance in Å.
Space group P4/mmm (No. 123)
Asymmetric unit:
Ta  0.0000  0.0000  0.0000  4 W 2.72, 8 Zn 2.86
Zn  0.0000  0.5000  0.5000  4 Zn 2.72, 4 Ta 2.86, 4 W 2.86
W  0.5000  0.5000  0.0000  4 Ta 2.72, 8 Zn 2.86

Density functional theory data (PBE) for a geometry-optimized KSr2Au structure.

Properties
Offset from the most stable computed form ... 188 meV per atom
Energy of formation from the pure elements ... -0.1994 eV/atom

a = 10.1879 Å, b = 10.1879 Å, c = 7.4748 Å
α = 90.00°, β = 90.00°, γ = 90.00°
Last column: nearest neighbours and their distance in Å.
Space group I-42d (No. 122)
Asymmetric unit:
K  0.0000  0.0000  0.0000  2 Au 3.74, 4 Sr 4.06
Sr  0.1449  0.2500  0.6250  2 Au 3.09
Au  0.0000  0.0000  0.5000  4 Sr 3.09

Density functional theory data (PBE) for a geometry-optimized MgCdFe structure.

Properties
Offset from the most stable computed form ... 100 meV per atom
Energy of formation from the pure elements ... 0.2992 eV/atom

a = 4.5800 Å, b = 4.5800 Å, c = 2.8852 Å
α = 90.00°, β = 90.00°, γ = 120.00°
Last column: nearest neighbours and their distance in Å.
Space group P3m1 (No. 156)
Asymmetric unit:
Mg  0.0000  0.0000  0.0000  3 Cd 2.82, 3 Fe 2.83, 2 Mg 2.89
Cd  0.3333  0.6667  0.3368  3 Fe 2.80, 3 Mg 2.82, 2 Cd 2.89
Fe  0.6667  0.3333  0.6520  3 Cd 2.80, 3 Mg 2.83, 2 Fe 2.89

Density functional theory data (PBE) for a geometry-optimized CeYFe4 structure.

Properties
Energy of formation from the pure elements ... -0.0533 eV/atom

a = 7.2819 Å, b = 7.2819 Å, c = 7.2819 Å
α = 90.00°, β = 90.00°, γ = 90.00°
Last column: nearest neighbours and their distance in Å.
Space group F-43m (No. 216)
Asymmetric unit:
Ce  0.0000  0.0000  0.0000  12 Fe 3.02, 4 Y 3.15
Y  0.2500  0.2500  0.7500  12 Fe 3.02, 4 Ce 3.15
Fe  0.1253  0.1253  0.3747  6 Fe 2.57-2.58

Density functional theory data (PBE) for a geometry-optimized RbNbF3 structure.

Properties
Offset from the most stable computed form ... 1616 meV per atom
Formation energy without anion corrections ... -0.61 eV per atom

a = 4.6861 Å, b = 4.6861 Å, c = 4.6861 Å
α = 90.00°, β = 90.00°, γ = 90.00°
Last column: nearest neighbours and their distance in Å.
Space group Pm-3m (No. 221)
Asymmetric unit:
Rb  0.0000  0.0000  0.0000  6 F 2.34
Nb  0.5000  0.5000  0.5000  12 F 3.31
F  0.0000  0.0000  0.5000  2 Rb 2.34

Density functional theory data (PBE) for a geometry-optimized Ho6Tl3Hg structure.

Properties
Offset from the most stable computed form ... 0 meV per atom
Energy of formation from the pure elements ... -0.2738 eV/atom

a = 9.5767 Å, b = 5.2501 Å, c = 11.5061 Å
α = 90.00°, β = 106.88°, γ = 90.00°
Last column: nearest neighbours and their distance in Å.
Space group P2_1/m (No. 11)
Asymmetric unit:
Ho  0.0416  0.2500  0.4058  6 Tl 3.18-3.44, 1 Ho 3.50
Ho  0.1532  0.7500  0.1842  1 Hg 3.03, 5 Tl 3.15-3.23
Ho  0.2629  0.2500  0.0009  3 Hg 3.16-3.52, 4 Tl 3.18-3.43
Ho  0.3528  0.7500  0.8204  3 Hg 3.23-3.28, 3 Tl 3.39-3.40, 5 Ho 3.57-3.60
Ho  0.3707  0.2500  0.3313  8 Ho 3.30-3.64, 3 Tl 3.34-3.41
Ho  0.3962  0.2500  0.6234  1 Hg 3.00, 3 Tl 3.05-3.14, 1 Ho 3.30
Tl  0.0320  0.7500  0.8922  8 Ho 3.15-3.43
Tl  0.1272  0.2500  0.7139  8 Ho 3.05-3.40
Tl  0.2832  0.7500  0.4756  8 Ho 3.14-3.44
Hg  0.4338  0.7500  0.1130  7 Ho 3.00-3.28

Density functional theory data (PBE) for a geometry-optimized Ge8Mo6Rh structure.

Properties
Energy of formation from the pure elements ... 0.1491 eV/atom

a = 8.5900 Å, b = 8.5900 Å, c = 12.0942 Å
α = 90.00°, β = 90.00°, γ = 120.00°
Last column: nearest neighbours and their distance in Å.
Space group R-3 (No. 148, hexagonal axes)
Asymmetric unit:
Ge  0.0000  0.0000  0.2226  1 Rh 2.69, 3 Mo 2.75, 3 Ge 2.82
Ge  0.0135  0.2771  0.9094  1 Rh 2.57, 3 Mo 2.63-2.67, 1 Ge 2.82
Mo  0.0492  0.2029  0.4090  4 Ge 2.63-2.75, 5 Mo 2.71-2.81
Rh  0.0000  0.0000  0.0000  8 Ge 2.57-2.69

Density functional theory data (PBE) for a geometry-optimized PuIn2Cl4 structure.

Properties
Formation energy without anion corrections ... -1.17 eV per atom

a = 5.5319 Å, b = 5.5319 Å, c = 15.9137 Å
α = 90.00°, β = 90.00°, γ = 90.00°
Last column: nearest neighbours and their distance in Å.
Space group I4/mmm (No. 139)
Asymmetric unit:
Pu  0.0000  0.0000  0.0000  6 Cl 2.77-2.80
In  0.0000  0.0000  0.3562  1 Cl 2.87
Cl  0.0000  0.0000  0.1757  1 Pu 2.80, 1 In 2.87
Cl  0.0000  0.5000  0.0000  2 Pu 2.77

Density functional theory data (PBE) for a geometry-optimized CeDy3Mg2 structure.

Properties
Energy of formation from the pure elements ... -0.0161 eV/atom

a = 3.5639 Å, b = 3.5639 Å, c = 13.3160 Å
α = 90.00°, β = 90.00°, γ = 90.00°
Last column: nearest neighbours and their distance in Å.
Space group P4/mmm (No. 123)
Asymmetric unit:
Ce  0.0000  0.0000  0.0000  8 Dy 3.45, 4 Ce 3.56
Dy  0.5000  0.5000  0.1768  4 Mg 3.32, 4 Ce 3.45, 4 Dy 3.56
Dy  0.5000  0.5000  0.5000  8 Mg 3.30, 4 Dy 3.56
Mg  0.0000  0.0000  0.3396  8 Dy 3.30-3.32, 4 Mg 3.56

Density functional theory data (PBE) for a geometry-optimized CoSiOs2 structure.

Properties
Formation energy without anion corrections ... 1.06 eV per atom

a = 5.3818 Å, b = 5.3818 Å, c = 10.2717 Å
α = 90.00°, β = 90.00°, γ = 90.00°
Last column: nearest neighbours and their distance in Å.
Space group I-42d (No. 122)
Asymmetric unit:
Co  0.0000  0.0000  0.0000  4 Os 2.25
Si  0.0000  0.0000  0.5000  4 Os 2.35
Os  0.2339  0.2500  0.1250  2 Co 2.25, 2 Si 2.35

Density functional theory data (PBE) for a geometry-optimized In5HgPb8 structure.

Properties
Energy of formation from the pure elements ... 0.0638 eV/atom

a = 9.5379 Å, b = 9.5379 Å, c = 9.5323 Å
α = 90.00°, β = 90.00°, γ = 90.00°
Last column: nearest neighbours and their distance in Å.
Space group I-4 (No. 82)
Asymmetric unit:
In  0.0000  0.0000  0.0000  8 Pb 3.19-3.39
In  0.1078  0.8170  0.5869  7 Pb 3.23-3.59, 2 In 3.31
Hg  0.0000  0.5000  0.2500  4 Pb 3.12
Pb  0.0637  0.6636  0.9041  4 Pb 3.35-3.55, 5 In 3.39-3.67, 1 Hg 3.70
Pb  0.1180  0.8048  0.2443  1 Hg 3.12, 5 In 3.19-3.40, 1 Pb 3.41

Density functional theory data (PBE) for a geometry-optimized LiZn2PdAu structure.

Properties
Energy of formation from the pure elements ... -0.3807 eV/atom

a = 14.0158 Å, b = 4.0559 Å, c = 5.7170 Å
α = 90.00°, β = 104.33°, γ = 90.00°
Last column: nearest neighbours and their distance in Å.
Space group C2/m (No. 12)
Asymmetric unit:
Li  0.0926  0.0000  0.4228  3 Zn 2.66-2.68, 2 Au 2.69, 3 Pd 2.78-2.82, 1 Li 2.94
Zn  0.1556  0.5000  0.1946  3 Pd 2.59-2.67, 3 Zn 2.66-2.70, 2 Au 2.67-2.68, 2 Li 2.68
Zn  0.1650  0.0000  0.8995  3 Pd 2.63-2.67, 3 Zn 2.66-2.70, 1 Li 2.66, 2 Au 2.76
Pd  0.2202  0.5000  0.6593  6 Zn 2.59-2.67, 3 Li 2.78-2.82, 1 Au 2.87
Au  0.0294  0.5000  0.7587  4 Zn 2.67-2.76, 2 Li 2.69, 1 Au 2.87, 1 Pd 2.87

Density functional theory data (PBE) for a geometry-optimized AgPd5Au12 structure.

Properties
Energy of formation from the pure elements ... -0.0632 eV/atom

a = 15.0694 Å, b = 8.7783 Å, c = 4.9571 Å
α = 90.00°, β = 108.84°, γ = 90.00°
Last column: nearest neighbours and their distance in Å.
Space group C2/m (No. 12)
Asymmetric unit:
Ag  0.0000  0.0000  0.0000  10 Au 2.88-2.96, 2 Pd 2.91
Pd  0.0000  0.5000  0.5000  10 Au 2.86-2.93, 2 Pd 2.89
Pd  0.1664  0.5000  0.9972  10 Au 2.87-2.94, 2 Pd 2.89-2.91
Pd  0.1669  0.0000  0.5024  10 Au 2.86-2.94, 1 Pd 2.91, 1 Ag 2.91
Au  0.0000  0.1665  0.5000  2 Ag 2.88, 7 Au 2.90-2.92, 3 Pd 2.91-2.93
Au  0.0000  0.3370  0.0000  4 Pd 2.86-2.89, 7 Au 2.86-2.94, 1 Ag 2.96
Au  0.1674  0.1651  0.9999  4 Pd 2.86-2.94, 7 Au 2.89-2.94, 1 Ag 2.91
Au  0.1665  0.3351  0.4977  5 Pd 2.87-2.94, 7 Au 2.89-2.92

| no. | electronic total energy (hartree per atom) | calculated volume (Å³ per cell) |
| --- | --- | --- |
| 1 | -0.1932 | 177 |
| 2 | -0.0733 | 775 |
| 3 | -0.2018 | 624 |
| 4 | -0.0873 | 182 |
| 5 | -0.2350 | 240 |
| 6 | -0.0372 | 483 |
| 7 | -0.2472 | 308 |
| 8 | -0.1912 | 301 |
| 9 | -0.1930 | 1324 |
| 10 | -0.1957 | 156 |
| 11 | -0.2461 | 63 |
| 12 | -0.0784 | 776 |
| 13 | -0.1234 | 52 |
| 14 | -0.2852 | 386 |
| 15 | -0.1449 | 103 |
| 16 | -0.1382 | 554 |
| 17 | -0.2622 | 773 |
| 18 | -0.1857 | 487 |
| 19 | -0.1410 | 169 |
| 20 | -0.2825 | 298 |
| 21 | -0.1123 | 867 |
| 22 | -0.1090 | 315 |
| 23 | -0.1414 | 621 |